Entry 1:
Compound: KSmI4
Source: Alexandria
Functional: GGA-PBE
Structure: optimized geometry

Calculated values
Crystal system ... monoclinic
Formation energy without anion corrections ... -1.42 eV per atom
E above lowest polymorph ... 0.0 meV/atom
Calculated density ... 3.79 g cm⁻³
Space group ... No. 12

abc: 7.967 7.967 8.864
angles: 101.49 101.49 33.70
Element x y z (fractional)
1 K 0.000 0.000 0.000
2 Sm 0.500 0.500 0.500
3 I 0.118 0.118 0.404
4 I 0.381 0.381 0.177
5 I 0.619 0.619 0.823
6 I 0.882 0.882 0.596



Entry 2:
Compound: K2SmI6
Source: Alexandria
Functional: GGA-PBE
Structure: optimized geometry

Calculated values
Crystal system ... monoclinic
Formation energy without anion corrections ... -1.21 eV per atom
Calculated density ... 3.90 g cm⁻³
Space group ... No. 14

abc: 8.553 9.277 13.346
angles: 90.00 127.28 90.00
Element x y z (fractional)
1 K 0.221 0.103 0.242
2 K 0.221 0.397 0.742
3 K 0.779 0.603 0.258
4 K 0.779 0.897 0.758
5 Sm 0.500 0.000 0.000
6 Sm 0.500 0.500 0.500
7 I 0.138 0.176 0.933
8 I 0.138 0.324 0.433
9 I 0.273 0.713 0.942
10 I 0.273 0.787 0.442
11 I 0.355 0.028 0.728
12 I 0.355 0.472 0.228
13 I 0.645 0.528 0.772
14 I 0.645 0.972 0.272
15 I 0.727 0.213 0.558
16 I 0.727 0.287 0.058
17 I 0.862 0.676 0.567
18 I 0.862 0.824 0.067



Entry 3:
Compound: K2SmI5
Source: Alexandria
Functional: GGA-PBE
Structure: optimized geometry

Calculated values
Crystal system ... orthorhombic
Formation energy without anion corrections ... -1.45 eV per atom
E above lowest polymorph ... 0.0 meV/atom
Calculated density ... 4.29 g cm⁻³
Space group ... No. 62

abc: 14.611 9.839 9.289
angles: 90.00 90.00 90.00
Element x y z (fractional)
1 K 0.172 0.005 0.068
2 K 0.172 0.495 0.068
3 K 0.328 0.505 0.568
4 K 0.328 0.995 0.568
5 K 0.672 0.005 0.432
6 K 0.672 0.495 0.432
7 K 0.828 0.505 0.932
8 K 0.828 0.995 0.932
9 Sm 0.006 0.250 0.580
10 Sm 0.494 0.750 0.080
11 Sm 0.506 0.250 0.920
12 Sm 0.994 0.750 0.420
13 I 0.009 0.250 0.926
14 I 0.071 0.547 0.669
15 I 0.071 0.953 0.669
16 I 0.184 0.250 0.386
17 I 0.204 0.750 0.347
18 I 0.296 0.250 0.847
19 I 0.316 0.750 0.886
20 I 0.429 0.047 0.169
21 I 0.429 0.453 0.169
22 I 0.491 0.750 0.426
23 I 0.509 0.250 0.574
24 I 0.571 0.547 0.831
25 I 0.571 0.953 0.831
26 I 0.684 0.250 0.114
27 I 0.704 0.750 0.153
28 I 0.796 0.250 0.653
29 I 0.816 0.750 0.614
30 I 0.929 0.047 0.331
31 I 0.929 0.453 0.331
32 I 0.991 0.750 0.074



Entry 4:
Compound: K3SmI6
Source: Alexandria
Functional: GGA-PBE
Structure: optimized geometry

Calculated values
Crystal system ... monoclinic
Formation energy without anion corrections ... -1.46 eV per atom
Calculated density ... 3.63 g cm⁻³
Space group ... No. 14

abc: 8.448 9.106 14.757
angles: 90.00 123.86 90.00
Element x y z (fractional)
1 K 0.000 0.000 0.000
2 K 0.000 0.500 0.500
3 K 0.206 0.090 0.744
4 K 0.206 0.410 0.244
5 K 0.794 0.590 0.756
6 K 0.794 0.910 0.256
7 Sm 0.500 0.000 0.500
8 Sm 0.500 0.500 0.000
9 I 0.140 0.177 0.437
10 I 0.140 0.323 0.937
11 I 0.260 0.713 0.423
12 I 0.260 0.787 0.923
13 I 0.409 0.054 0.268
14 I 0.409 0.446 0.768
15 I 0.591 0.554 0.232
16 I 0.591 0.946 0.732
17 I 0.740 0.213 0.077
18 I 0.740 0.287 0.577
19 I 0.860 0.677 0.063
20 I 0.860 0.823 0.563



Entry 5:
Compound: K2SmI6
Source: Alexandria
Functional: GGA-PBE
Structure: optimized geometry

Calculated values
Crystal system ... orthorhombic
Formation energy without anion corrections ... -1.17 eV per atom
Calculated density ... 4.55 g cm⁻³
Space group ... No. 38

abc: 4.846 9.317 9.317
angles: 120.84 90.00 90.00
Element x y z (fractional)
1 K 0.000 0.169 0.831
2 K 0.000 0.831 0.169
3 Sm 0.500 0.506 0.506
4 I 0.000 0.265 0.502
5 I 0.000 0.502 0.265
6 I 0.000 0.747 0.747
7 I 0.500 0.139 0.139
8 I 0.500 0.501 0.869
9 I 0.500 0.869 0.501



Entry 6:
Compound: KSmI4
Source: Alexandria
Functional: GGA-PBE
Structure: optimized geometry

Calculated values
Crystal system ... monoclinic
Formation energy without anion corrections ... -1.41 eV per atom
E above lowest polymorph ... 10.1 meV/atom
Calculated density ... 3.86 g cm⁻³
Space group ... No. 15

abc: 10.365 10.365 7.711
angles: 108.25 108.25 116.13
Element x y z (fractional)
1 K 0.163 0.837 0.750
2 K 0.837 0.163 0.250
3 Sm 0.422 0.578 0.250
4 Sm 0.578 0.422 0.750
5 I 0.136 0.536 0.311
6 I 0.241 0.330 0.757
7 I 0.330 0.241 0.257
8 I 0.464 0.864 0.189
9 I 0.536 0.136 0.811
10 I 0.670 0.759 0.743
11 I 0.759 0.670 0.243
12 I 0.864 0.464 0.689



Entry 7:
Compound: KSmI2
Source: Alexandria
Functional: GGA-PBE
Structure: optimized geometry

Calculated values
Crystal system ... trigonal
Formation energy without anion corrections ... -0.94 eV per atom
Calculated density ... 4.23 g cm⁻³
Space group ... No. 166

abc: 11.798 11.798 11.798
angles: 20.35 20.35 20.35
Element x y z (fractional)
1 K 0.000 0.000 0.000
2 Sm 0.500 0.500 0.500
3 I 0.106 0.106 0.106
4 I 0.894 0.894 0.894



Entry 8:
Compound: KSr2SmI8
Source: Alexandria
Functional: GGA-PBE
Structure: optimized geometry

Calculated values
Crystal system ... triclinic
Formation energy without anion corrections ... -1.54 eV per atom
Calculated density ... 3.94 g cm⁻³
Space group ... No. 2

abc: 7.397 7.865 9.999
angles: 89.99 89.96 89.87
Element x y z (fractional)
1 K 0.000 0.000 0.000
2 Sr 0.500 0.500 0.251
3 Sr 0.500 0.500 0.749
4 Sm 0.000 0.000 0.500
5 I 0.240 0.844 0.280
6 I 0.240 0.844 0.720
7 I 0.248 0.330 0.500
8 I 0.256 0.367 0.000
9 I 0.744 0.633 0.000
10 I 0.752 0.670 0.500
11 I 0.760 0.156 0.280
12 I 0.760 0.156 0.720



Entry 9:
Compound: KSrSmI6
Source: Alexandria
Functional: GGA-PBE
Structure: optimized geometry

Calculated values
Crystal system ... trigonal
Formation energy without anion corrections ... -1.53 eV per atom
Calculated density ... 3.80 g cm⁻³
Space group ... No. 163

abc: 8.271 8.271 15.327
angles: 90.00 90.00 120.00
Element x y z (fractional)
1 K 0.000 0.000 0.000
2 K 0.000 0.000 0.500
3 Sr 0.333 0.667 0.250
4 Sr 0.667 0.333 0.750
5 Sm 0.333 0.667 0.750
6 Sm 0.667 0.333 0.250
7 I 0.018 0.373 0.632
8 I 0.018 0.645 0.868
9 I 0.355 0.373 0.868
10 I 0.355 0.982 0.632
11 I 0.373 0.018 0.132
12 I 0.373 0.355 0.368
13 I 0.627 0.645 0.632
14 I 0.627 0.982 0.868
15 I 0.645 0.018 0.368
16 I 0.645 0.627 0.132
17 I 0.982 0.355 0.132
18 I 0.982 0.627 0.368



Entry 10:
Compound: KSmTl2I6
Source: Alexandria
Functional: GGA-PBE
Structure: optimized geometry

Calculated values
Crystal system ... trigonal
Formation energy without anion corrections ... -1.13 eV per atom
Calculated density ... 4.59 g cm⁻³
Space group ... No. 146

abc: 9.073 9.073 9.073
angles: 57.06 57.06 57.06
Element x y z (fractional)
1 K 0.000 0.000 0.000
2 Sm 0.492 0.492 0.492
3 Tl 0.295 0.295 0.295
4 Tl 0.804 0.804 0.804
5 I 0.129 0.695 0.398
6 I 0.250 0.605 0.845
7 I 0.398 0.129 0.695
8 I 0.605 0.845 0.250
9 I 0.695 0.398 0.129
10 I 0.845 0.250 0.605



- Look up the calculated density of the tenth one.
  4.59 g cm⁻³



- Number 3 is which compound?
  K2SmI5